# Ba2IrRh PBE relaxed
data_Ba2IrRh
_symmetry_space_group_name_H-M 'P 1'
_symmetry_Int_Tables_number 1
_cell_length_a 9.2722
_cell_length_b 9.2722
_cell_length_c 9.2722
_cell_angle_alpha 23.87
_cell_angle_beta 23.87
_cell_angle_gamma 23.87
loop_
_symmetry_equiv_pos_as_xyz
'x,y,z'
loop_
_atom_site_label
_atom_site_fract_x
_atom_site_fract_y
_atom_site_fract_z
_atom_site_occupancy
Ba1 0.7495 0.7495 0.7495 1
Ba2 0.2505 0.2505 0.2505 1
Ir1 0.5000 0.5000 0.5000 1
Rh1 0.0000 0.0000 0.0000 1
# - V (A^3/atom) = 28.67
# - excess energy over the best structure of this formula in the dataset (eV/atom) = 0.688
# - density of states at the Fermi level (states/eV per cell) = 3.097
# - space-group type = R-3m



# Ba2IrRh PBE relaxed
data_Ba2IrRh
_symmetry_space_group_name_H-M 'P 1'
_symmetry_Int_Tables_number 1
_cell_length_a 4.6772
_cell_length_b 4.9662
_cell_length_c 5.9824
_cell_angle_alpha 65.48
_cell_angle_beta 90.00
_cell_angle_gamma 90.00
loop_
_symmetry_equiv_pos_as_xyz
'x,y,z'
loop_
_atom_site_label
_atom_site_fract_x
_atom_site_fract_y
_atom_site_fract_z
_atom_site_occupancy
Ir1 0.0000 0.6605 0.5542 1
Rh1 0.5000 0.5913 0.6924 1
Ba1 0.0000 0.9770 0.9209 1
Ba2 0.5000 0.2713 0.3325 1
# - V (A^3/atom) = 31.61
# - excess energy over the best structure of this formula in the dataset (eV/atom) = 0.027
# - density of states at the Fermi level (states/eV per cell) = 2.746
# - space-group type = Amm2



# Ba2IrRh PBE relaxed
data_Ba2IrRh
_symmetry_space_group_name_H-M 'P 1'
_symmetry_Int_Tables_number 1
_cell_length_a 5.3513
_cell_length_b 5.3513
_cell_length_c 5.3513
_cell_angle_alpha 60.00
_cell_angle_beta 60.00
_cell_angle_gamma 60.00
loop_
_symmetry_equiv_pos_as_xyz
'x,y,z'
loop_
_atom_site_label
_atom_site_fract_x
_atom_site_fract_y
_atom_site_fract_z
_atom_site_occupancy
Ir1 0.5000 0.5000 0.5000 1
Rh1 0.0000 0.0000 0.0000 1
Ba1 0.2500 0.2500 0.2500 1
Ba2 0.7500 0.7500 0.7500 1
# - V (A^3/atom) = 27.09
# - excess energy over the best structure of this formula in the dataset (eV/atom) = 0.463
# - density of states at the Fermi level (states/eV per cell) = 3.915
# - space-group type = Fm-3m



# Ba2IrRh PBE relaxed
data_Ba2IrRh
_symmetry_space_group_name_H-M 'P 1'
_symmetry_Int_Tables_number 1
_cell_length_a 8.1130
_cell_length_b 8.1130
_cell_length_c 8.1130
_cell_angle_alpha 147.54
_cell_angle_beta 147.13
_cell_angle_gamma 46.87
loop_
_symmetry_equiv_pos_as_xyz
'x,y,z'
loop_
_atom_site_label
_atom_site_fract_x
_atom_site_fract_y
_atom_site_fract_z
_atom_site_occupancy
Ba1 0.0070 0.0070 0.0000 1
Ba2 0.2422 0.7422 0.5000 1
Ir1 0.5978 0.5978 0.0000 1
Rh1 0.6530 0.1530 0.5000 1
# - V (A^3/atom) = 38.74
# - excess energy over the best structure of this formula in the dataset (eV/atom) = 0.125
# - density of states at the Fermi level (states/eV per cell) = 2.611
# - space-group type = Imm2



# Ba2IrRh PBE relaxed
data_Ba2IrRh
_symmetry_space_group_name_H-M 'P 1'
_symmetry_Int_Tables_number 1
_cell_length_a 3.6599
_cell_length_b 4.0570
_cell_length_c 7.2503
_cell_angle_alpha 90.00
_cell_angle_beta 90.00
_cell_angle_gamma 90.00
loop_
_symmetry_equiv_pos_as_xyz
'x,y,z'
loop_
_atom_site_label
_atom_site_fract_x
_atom_site_fract_y
_atom_site_fract_z
_atom_site_occupancy
Ba1 0.0000 0.0000 0.7535 1
Ba2 0.0000 0.0000 0.2465 1
Ir1 0.5000 0.5000 0.0000 1
Rh1 0.5000 0.5000 0.5000 1
# - V (A^3/atom) = 26.91
# - excess energy over the best structure of this formula in the dataset (eV/atom) = 0.471
# - density of states at the Fermi level (states/eV per cell) = 5.288
# - space-group type = Pmmm



# BaIrRh3 PBE relaxed
data_BaIrRh3
_symmetry_space_group_name_H-M 'P 1'
_symmetry_Int_Tables_number 1
_cell_length_a 4.8642
_cell_length_b 4.8642
_cell_length_c 4.8642
_cell_angle_alpha 90.00
_cell_angle_beta 90.00
_cell_angle_gamma 90.00
loop_
_symmetry_equiv_pos_as_xyz
'x,y,z'
loop_
_atom_site_label
_atom_site_fract_x
_atom_site_fract_y
_atom_site_fract_z
_atom_site_occupancy
Ir1 0.0000 0.0000 0.0000 1
Rh1 0.0000 0.5000 0.0000 1
Rh2 0.0000 0.0000 0.5000 1
Rh3 0.5000 0.0000 0.0000 1
Ba1 0.5000 0.5000 0.5000 1
# - V (A^3/atom) = 23.02
# - excess energy over the best structure of this formula in the dataset (eV/atom) = 0.000
# - density of states at the Fermi level (states/eV per cell) = 6.844
# - space-group type = Pm-3m



no.,total energy (eV/atom)
1,-4.51
2,-5.17
3,-4.73
4,-5.07
5,-4.73
6,-6.04